Entry 1:
## TbHo4N4 (PBE-GGA)

Data for a geometry-optimized TbHo4N4 structure.

The structure in POSCAR format:
```
TbHo4N4
1.0
4.5360 0.0000 1.8185
2.2286 5.5087 1.0075
0.2186 -0.1075 6.0211
Ho Tb N
4 1 4
Cartesian
2.8867 2.2390 5.9323 Ho
5.5879 4.3265 5.7609 Ho
1.3952 1.0746 3.0862 Ho
4.0964 3.1622 2.9149 Ho
0.0000 0.0000 0.0000 Tb
3.2732 4.3383 4.9681 N
1.8329 3.2891 1.9944 N
5.1502 2.1121 6.8527 N
3.7098 1.0628 3.8791 N
```

Values from the calculation:
formation energy without anion corrections: -13.73 eV per formula unit
D(E_F): 2.67 states/eV/cell
space-group type: I4/m, No. 87

=====

Entry 2:
## Tb3Ho2N4 (PBE-GGA)

Data for a geometry-optimized Tb3Ho2N4 structure.

The structure in POSCAR format:
```
Tb3Ho2N4
1.0
-1.5255 2.6551 -1.6740
-1.1219 -3.2639 -0.5168
-9.3858 1.5167 10.9207
N Tb Ho
4 3 2
Cartesian
-9.6938 0.0742 8.9141 N
-4.3235 3.1015 1.5832 N
-7.7097 -2.1937 7.1467 N
-2.3394 0.8336 -0.1842 N
0.0000 0.0000 0.0000 Tb
-7.0493 -0.3480 5.8358 Tb
-4.9839 1.2559 2.8941 Tb
-3.0443 -1.0053 1.1786 Ho
-8.9890 1.9131 7.5513 Ho
```

Values from the calculation:
formation energy without anion corrections: -13.41 eV per formula unit
D(E_F): 4.68 states/eV/cell
space-group type: C2/m, No. 12

=====

Entry 3:
## TbHo3N4 (PBE-GGA)

Data for a geometry-optimized TbHo3N4 structure.

The structure in POSCAR format:
```
TbHo3N4
1.0
4.8968 0.0000 0.0000
0.0000 4.8968 0.0000
0.0000 0.0000 4.8968
N Ho Tb
4 3 1
Cartesian
2.4484 2.4484 2.4484 N
2.4484 0.0000 0.0000 N
0.0000 2.4484 0.0000 N
0.0000 0.0000 2.4484 N
0.0000 2.4484 2.4484 Ho
2.4484 2.4484 0.0000 Ho
2.4484 0.0000 2.4484 Ho
0.0000 0.0000 0.0000 Tb
```

Values from the calculation:
formation energy without anion corrections: -13.78 eV per formula unit
D(E_F): 0.44 states/eV/cell
space-group type: Pm-3m, No. 221

=====

Entry 4:
## TbHoN (PBE-GGA)

Data for a geometry-optimized TbHoN structure.

The structure in POSCAR format:
```
TbHoN
1.0
3.4933 0.0000 0.0000
-1.7466 3.0253 0.0000
0.0000 0.0000 5.9999
Tb Ho N
1 1 1
Cartesian
0.0000 0.0000 0.6478 Tb
0.0000 2.0169 3.3238 Ho
1.7467 1.0084 2.0283 N
```

Values from the calculation:
formation energy without anion corrections: -3.11 eV per formula unit
polymorph energy (0 for the lowest one): 0.000 eV per atom
D(E_F): 2.73 states/eV/cell
space-group type: P3m1, No. 156

=====

Entry 5:
## Tb3HoN4 (PBE-GGA)

Data for a geometry-optimized Tb3HoN4 structure.

The structure in POSCAR format:
```
Tb3HoN4
1.0
6.0373 0.0555 0.0000
-2.0637 5.6740 0.0000
0.0000 0.0000 6.9750
Tb Ho N
6 2 8
Cartesian
0.4775 2.8509 6.1081 Tb
1.5093 0.0139 4.3606 Tb
3.4961 2.8786 4.3609 Tb
0.4775 2.8509 2.6142 Tb
3.4961 2.8786 0.8669 Tb
4.5279 0.0416 2.6144 Tb
4.5279 0.0416 6.1091 Ho
1.5093 0.0139 0.8659 Ho
-0.5095 1.4056 0.8582 N
2.5091 1.4334 6.1168 N
1.4645 4.2961 0.8582 N
1.4773 4.2865 4.3628 N
4.4831 4.3238 6.1168 N
5.5149 1.4707 4.3628 N
-1.5413 4.2588 2.6122 N
2.4963 1.4429 2.6122 N
```

Values from the calculation:
formation energy without anion corrections: -13.45 eV per formula unit
D(E_F): 0.80 states/eV/cell
space-group type: P2/c, No. 13

=====

Entry 6:
## TbHo4N5 (PBE-GGA)

Data for a geometry-optimized TbHo4N5 structure.

The structure in POSCAR format:
```
TbHo4N5
1.0
-2.0549 2.0325 3.9486
-4.9317 -2.8144 1.9143
2.0387 -2.1593 5.2046
N Tb Ho
5 1 4
Cartesian
-2.2057 -1.0281 8.4830 N
-2.7458 -1.9096 2.5914 N
-3.3436 -2.9238 5.8345 N
-1.6079 -0.0139 5.2399 N
-1.0291 1.0179 1.9775 N
-0.0024 0.0024 0.0047 Tb
-3.7841 -0.8990 4.5651 Ho
-4.3675 -1.9159 7.8170 Ho
-0.5854 -1.0204 3.2601 Ho
-1.1688 -2.0373 6.5120 Ho
```

Values from the calculation:
formation energy without anion corrections: -17.28 eV per formula unit
D(E_F): 0.36 states/eV/cell
space-group type: I4/m, No. 87

=====

Entry 7:
## Tb2Ho4N (PBE-GGA)

Data for a geometry-optimized Tb2Ho4N structure.

The structure in POSCAR format:
```
Tb2Ho4N
1.0
4.7562 0.0000 0.0000
0.0000 4.7562 0.0000
2.3781 2.3781 8.7825
N Tb Ho
1 2 4
Cartesian
0.0000 0.0000 0.0000 N
2.3781 2.3781 2.9882 Tb
4.7562 4.7562 5.7943 Tb
4.7562 4.7562 2.3255 Ho
2.3781 2.3781 6.4570 Ho
0.0000 2.3781 0.0000 Ho
2.3781 0.0000 0.0000 Ho
```

Values from the calculation:
formation energy without anion corrections: -1.94 eV per formula unit
D(E_F): 8.07 states/eV/cell
space-group type: I4/mmm, No. 139

=====

Entry 8:
## Tb3HoN4 (PBE-GGA)

Data for a geometry-optimized Tb3HoN4 structure.

The structure in POSCAR format:
```
Tb3HoN4
1.0
4.9307 0.0000 0.0000
0.0000 4.9307 0.0000
0.0000 0.0000 4.9307
Tb N Ho
3 4 1
Cartesian
2.4654 0.0000 2.4654 Tb
2.4654 2.4654 0.0000 Tb
0.0000 2.4654 2.4654 Tb
2.4654 0.0000 0.0000 N
0.0000 2.4654 0.0000 N
2.4654 2.4654 2.4654 N
0.0000 0.0000 2.4654 N
0.0000 0.0000 0.0000 Ho
```

Values from the calculation:
formation energy without anion corrections: -13.45 eV per formula unit
D(E_F): 0.53 states/eV/cell
space-group type: Pm-3m, No. 221

=====

Entry 9:
## Tb2HoN (PBE-GGA)

Data for a geometry-optimized Tb2HoN structure.

The structure in POSCAR format:
```
Tb2HoN
1.0
-1.3417 -0.3664 3.1806
-3.0211 -1.6552 0.4293
3.1590 -8.8331 2.2095
Ho Tb N
1 2 1
Cartesian
0.0000 0.0000 0.0000 Ho
-2.7081 -4.9482 3.9708 Tb
1.5043 -5.9065 1.8486 Tb
-0.6019 -5.4273 2.9097 N
```

Values from the calculation:
formation energy without anion corrections: -2.61 eV per formula unit
D(E_F): 4.57 states/eV/cell
space-group type: R-3m, No. 166

=====

Entry 10:
## TbHoN (PBE-GGA)

Data for a geometry-optimized TbHoN structure.

The structure in POSCAR format:
```
TbHoN
1.0
-1.0080 -6.6371 1.2462
3.3186 -0.4839 0.1071
-0.0595 2.3357 12.3920
Ho N Tb
4 4 4
Cartesian
0.6621 -0.1662 5.0116 Ho
1.5890 -4.6191 8.7337 Ho
0.4173 -0.4147 11.4735 Ho
1.8338 -4.3706 2.2718 Ho
-0.0432 -5.6518 2.0822 N
2.2943 0.8665 11.6631 N
2.0998 -1.7776 5.7443 N
0.1513 -3.0077 8.0010 N
2.3729 -0.8437 1.5039 Tb
-0.1218 -3.9415 12.2414 Tb
2.0589 -1.5473 8.0513 Tb
0.1922 -3.2379 5.6940 Tb
```

Values from the calculation:
formation energy without anion corrections: -2.43 eV per formula unit
polymorph energy (0 for the lowest one): 0.226 eV per atom
D(E_F): 9.38 states/eV/cell
space-group type: Pnma, No. 62

=====

Entry 11:
## TbHo2N (PBE-GGA)

Data for a geometry-optimized TbHo2N structure.

The structure in POSCAR format:
```
TbHo2N
1.0
-2.8262 -0.2880 1.3947
1.3570 -1.4842 2.4436
1.1896 7.6604 3.9924
Ho N Tb
2 1 1
Cartesian
0.1916 1.2338 0.6430 Ho
0.9980 6.4266 3.3493 Ho
-0.7346 -0.8861 1.9191 N
-0.1398 2.9441 3.9153 Tb
```

Values from the calculation:
formation energy without anion corrections: -0.81 eV per formula unit
polymorph energy (0 for the lowest one): 0.590 eV per atom
D(E_F): 4.80 states/eV/cell
space-group type: P4/mmm, No. 123

=====

Entry 12:
## TbHoThN3 (PBE-GGA)

Data for a geometry-optimized TbHoThN3 structure.

The structure in POSCAR format:
```
TbHoThN3
1.0
3.3870 0.0000 0.0000
0.0000 6.3767 0.7997
0.0000 -1.6238 9.9299
N Tb Ho Th
6 2 2 2
Cartesian
0.8468 2.4671 9.2119 N
2.5403 2.2858 1.5177 N
2.5403 0.3653 4.3404 N
2.5403 5.3820 2.5583 N
0.8468 -0.6291 8.1712 N
0.8468 4.3876 6.3891 N
2.5403 4.3699 4.8325 Tb
0.8468 0.3830 5.8971 Tb
2.5403 0.6733 9.1614 Ho
0.8468 4.0796 1.5681 Ho
2.5403 4.0012 8.3043 Th
0.8468 0.7517 2.4253 Th
```

Values from the calculation:
formation energy without anion corrections: -8.20 eV per formula unit
D(E_F): 3.30 states/eV/cell
space-group type: P2_1/m, No. 11

=====

Entry 13:
## Tb2HoThN4 (PBE-GGA)

Data for a geometry-optimized Tb2HoThN4 structure.

The structure in POSCAR format:
```
Tb2HoThN4
1.0
3.5410 0.0000 0.0000
0.0000 6.1090 0.1137
0.0000 -2.1299 5.7287
Tb Th Ho N
2 1 1 4
Cartesian
1.7705 -1.0650 2.8644 Tb
0.0000 1.9896 2.9212 Tb
1.7705 3.0545 0.0569 Th
0.0000 0.0000 0.0000 Ho
0.0000 4.0632 1.5156 N
0.0000 -0.0841 4.3269 N
1.7705 0.9925 1.4429 N
1.7705 2.9866 4.3996 N
```

Values from the calculation:
formation energy without anion corrections: -13.33 eV per formula unit
D(E_F): 1.73 states/eV/cell
space-group type: P2/m, No. 10

=====

Entry 14:
## TbHoTiN3 (PBE-GGA)

Data for a geometry-optimized TbHoTiN3 structure.

The structure in POSCAR format:
```
TbHoTiN3
1.0
-2.3184 -1.5783 1.6897
-2.7596 -1.9114 -5.5718
5.3274 -7.4829 0.3200
N Ho Ti Tb
6 2 2 2
Cartesian
-3.0304 -4.4640 -3.5689 N
0.1951 -4.9555 0.3976 N
3.2798 -6.5087 0.0068 N
0.0543 -6.0171 -3.9597 N
-2.1196 -2.8842 -0.8436 N
2.3689 -8.0884 -2.7185 N
2.0172 -8.4455 -0.3622 Ho
-1.7679 -2.5272 -3.1999 Ho
-1.8493 -6.0108 -3.3931 Ti
2.0986 -4.9619 -0.1690 Ti
0.0576 -8.4564 -3.0611 Tb
0.1918 -2.5162 -0.5010 Tb
```

Values from the calculation:
formation energy without anion corrections: -8.22 eV per formula unit
D(E_F): 2.37 states/eV/cell
space-group type: P2_1/m, No. 11

=====

Entry 15:
## Tb2HoTlN (PBE-GGA)

Data for a geometry-optimized Tb2HoTlN structure.

The structure in POSCAR format:
```
Tb2HoTlN
1.0
-2.1803 -2.8920 -3.1419
0.7197 -3.7679 2.9688
-4.2597 0.8784 2.1475
Tb N Ho Tl
2 1 1 1
Cartesian
-2.1299 0.4392 1.0737 Tb
0.3598 -1.8839 1.4844 Tb
0.0000 0.0000 0.0000 N
-1.0901 -1.4460 -1.5709 Ho
-2.8602 -2.8907 0.9872 Tl
```

Values from the calculation:
formation energy without anion corrections: -4.68 eV per formula unit
D(E_F): 2.54 states/eV/cell
space-group type: P4/mmm, No. 123

=====

Entry 16:
## TbHo2TlN (PBE-GGA)

Data for a geometry-optimized TbHo2TlN structure.

The structure in POSCAR format:
```
TbHo2TlN
1.0
-2.3505 4.2382 0.1342
-4.0054 -2.1742 -1.4895
-1.2419 -0.8330 4.5555
N Tl Tb Ho
1 1 1 2
Cartesian
0.0000 0.0000 0.0000 N
-3.7989 0.6155 1.6001 Tl
-1.1752 2.1191 0.0671 Tb
-2.0027 -1.0871 -0.7448 Ho
-0.6210 -0.4165 2.2778 Ho
```

Values from the calculation:
formation energy without anion corrections: -4.71 eV per formula unit
D(E_F): 2.56 states/eV/cell
space-group type: P4/mmm, No. 123

=====

Entry 17:
## TbHo2TmN4 (PBE-GGA)

Data for a geometry-optimized TbHo2TmN4 structure.

The structure in POSCAR format:
```
TbHo2TmN4
1.0
3.4515 0.0000 0.0000
0.0000 5.9754 0.1059
0.0000 -2.0893 5.5989
N Tb Ho Tm
4 1 2 1
Cartesian
0.0000 -0.0883 4.2199 N
1.7257 2.9298 4.2840 N
0.0000 3.9744 1.4849 N
1.7257 0.9563 1.4207 N
1.7257 2.9877 0.0529 Tb
0.0000 1.9430 2.8524 Ho
1.7257 -1.0446 2.7994 Ho
0.0000 0.0000 0.0000 Tm
```

Values from the calculation:
formation energy without anion corrections: -13.93 eV per formula unit
D(E_F): 0.21 states/eV/cell
space-group type: P2/m, No. 10

=====

Entry 18:
## Tb2HoTmN4 (PBE-GGA)

Data for a geometry-optimized Tb2HoTmN4 structure.

The structure in POSCAR format:
```
Tb2HoTmN4
1.0
-0.1617 1.9630 2.8485
1.4947 -4.7415 3.3524
4.9723 2.8857 -1.7064
Tm Tb N Ho
1 2 4 1
Cartesian
0.0000 0.0000 0.0000 Tm
2.4053 2.4244 0.5711 Tb
3.2335 -0.9279 0.8230 Tb
2.3448 -2.8457 2.0942 N
4.1221 0.9899 -0.4482 N
1.5080 0.5174 1.8343 N
4.7973 -0.4102 2.6602 N
0.6665 -1.3893 3.1005 Ho
```

Values from the calculation:
formation energy without anion corrections: -13.76 eV per formula unit
D(E_F): 0.21 states/eV/cell
space-group type: P2/m, No. 10

=====

Entry 19:
## TbHo2UN4 (PBE-GGA)

Data for a geometry-optimized TbHo2UN4 structure.

The structure in POSCAR format:
```
TbHo2UN4
1.0
-0.3377 -2.4706 2.3915
2.1121 -4.0357 -3.8710
4.5614 2.3361 3.0576
U Ho N Tb
1 2 4 1
Cartesian
0.0000 0.0000 0.0000 U
3.3368 -0.8498 -0.4067 Ho
2.1118 -0.0672 2.7245 Ho
2.7126 -2.5244 -2.2249 N
3.9609 0.8249 1.4116 N
1.4479 -1.6366 1.0095 N
4.8879 -2.5336 0.5686 N
0.8872 -3.2531 -0.7398 Tb
```

Values from the calculation:
formation energy without anion corrections: -13.02 eV per formula unit
D(E_F): 4.29 states/eV/cell
space-group type: P2/m, No. 10

=====

Entry 20:
## Tb2HoUN4 (PBE-GGA)

Data for a geometry-optimized Tb2HoUN4 structure.

The structure in POSCAR format:
```
Tb2HoUN4
1.0
3.4676 0.0000 0.0000
0.0000 5.9784 0.1259
0.0000 -2.0696 5.6247
U N Ho Tb
1 4 1 2
Cartesian
0.0000 0.0000 0.0000 U
1.7338 0.9395 1.3557 N
0.0000 -0.1579 4.3412 N
1.7338 2.9693 4.3949 N
0.0000 4.0667 1.4094 N
1.7338 2.9892 0.0629 Ho
1.7338 -1.0348 2.8123 Tb
0.0000 1.9544 2.8753 Tb
```

Values from the calculation:
formation energy without anion corrections: -12.95 eV per formula unit
D(E_F): 4.60 states/eV/cell
space-group type: P2/m, No. 10

=====

Entry 21:
## Tb2YHoN4 (PBE-GGA)

Data for a geometry-optimized Tb2YHoN4 structure.

The structure in POSCAR format:
```
Tb2YHoN4
1.0
-3.4321 -0.5256 0.2600
0.8077 -2.6167 5.3706
-0.8491 5.9198 0.7590
N Tb Y Ho
4 2 1 1
Cartesian
0.3951 -0.4921 4.2196 N
-1.7475 2.2226 4.7381 N
-1.7260 0.5549 1.6515 N
-0.4365 3.7952 1.9099 N
-2.1406 2.6971 0.5095 Tb
-0.0207 1.6516 3.0648 Tb
-1.3122 -1.5712 2.8153 Y
0.0000 0.0000 0.0000 Ho
```

Values from the calculation:
formation energy without anion corrections: -13.52 eV per formula unit
D(E_F): 0.21 states/eV/cell
space-group type: P2/m, No. 10

=====

Entry 22:
## TbHo3Zr2N6 (PBE-GGA)

Data for a geometry-optimized TbHo3Zr2N6 structure.

The structure in POSCAR format:
```
TbHo3Zr2N6
1.0
3.3789 0.0000 0.0000
0.0000 6.7801 0.2380
-1.6895 -1.9580 7.1074
N Ho Zr Tb
6 3 2 1
Cartesian
1.6895 3.2338 2.5623 N
0.0000 4.8256 4.9228 N
1.6895 -0.0035 2.4226 N
1.6895 3.1082 7.1941 N
0.0000 1.5884 4.7831 N
0.0000 1.7140 0.1513 N
1.6895 -0.1704 4.7736 Ho
0.0000 4.9925 2.5717 Ho
1.6895 3.3901 0.1190 Ho
0.0000 1.6156 2.4566 Zr
1.6895 3.2066 4.8888 Zr
1.6895 0.0000 0.0000 Tb
```

Values from the calculation:
formation energy without anion corrections: -20.83 eV per formula unit
D(E_F): 2.88 states/eV/cell
space-group type: C2/m, No. 12

=====

Entry 23:
## Tb3HoZr2N6 (PBE-GGA)

Data for a geometry-optimized Tb3HoZr2N6 structure.

The structure in POSCAR format:
```
Tb3HoZr2N6
1.0
3.3914 0.0000 0.0000
0.0000 6.8133 0.2274
-1.6957 -1.9795 7.1403
N Tb Zr Ho
6 3 2 1
Cartesian
1.6957 0.0092 2.4079 N
0.0000 1.6081 4.7908 N
0.0000 4.8246 4.9598 N
1.6957 3.1461 7.2100 N
0.0000 1.6877 0.1577 N
1.6957 3.2257 2.5769 N
1.6957 3.4067 0.1137 Tb
0.0000 5.0156 2.5707 Tb
1.6957 -0.1819 4.7970 Tb
0.0000 1.6163 2.4598 Zr
1.6957 3.2175 4.9079 Zr
1.6957 0.0000 0.0000 Ho
```

Values from the calculation:
formation energy without anion corrections: -20.57 eV per formula unit
D(E_F): 2.78 states/eV/cell
space-group type: C2/m, No. 12

=====

Entry 24:
## TbHoZr2N4 (PBE-GGA)

Data for a geometry-optimized TbHoZr2N4 structure.

The structure in POSCAR format:
```
TbHoZr2N4
1.0
3.3448 0.0000 0.0000
0.0000 5.7860 0.0974
0.0000 -2.0270 5.4861
N Ho Tb Zr
4 1 1 2
Cartesian
1.6724 2.8331 4.0990 N
1.6724 0.9259 1.4845 N
0.0000 -0.0805 4.0406 N
0.0000 3.8395 1.5429 N
0.0000 0.0000 0.0000 Ho
1.6724 2.8930 0.0487 Tb
1.6724 -1.0135 2.7431 Zr
0.0000 1.8795 2.7917 Zr
```

Values from the calculation:
formation energy without anion corrections: -13.81 eV per formula unit
D(E_F): 3.17 states/eV/cell
space-group type: P2/m, No. 10

=====

no.,calculated density (Mg/m³),size of the total moment (μB per formula unit)
1,9.79,0.00
2,9.38,0.36
3,10.04,0.00
4,8.85,0.64
5,9.67,0.00
6,10.08,0.00
7,8.29,0.00
8,9.67,0.00
9,8.38,0.74
10,7.77,0.00
11,9.56,0.00
12,9.07,0.38
13,10.26,0.00
14,7.02,0.00
15,10.32,0.00
16,10.54,0.00
17,10.20,0.00
18,10.01,0.00
19,11.16,1.52
20,10.98,1.39
21,8.74,0.00
22,9.29,0.00
23,9.06,0.00
24,8.74,0.00